1.
Tl2SbPb | Alexandria | meta-GGA SCAN | PBEsol geometry; formation energy from raw total energies = 0.147 eV per formula unit; energy relative to the lowest polymorph listed for this composition = 12 kJ/mol of formula units; SG = P2/m, No. 10; N(E_F) = 2.0 states/eV/cell
1.0
-2.401 -1.216 -1.865
-2.768 -1.144 4.309
-2.803 5.995 -0.209
Pb Tl Sb
1 2 1
direct
0.500 0.500 0.000
0.034 0.000 0.254
0.966 0.000 0.746
0.500 0.500 0.500

---

2.
MgFe4Si | Alexandria | meta-GGA SCAN | PBEsol geometry; formation energy from raw total energies = 0.635 eV per formula unit; SG = F-43m, No. 216; N(E_F) = 4.6 states/eV/cell
1.0
4.680 0.000 0.000
2.340 4.053 0.000
2.340 1.351 3.821
Fe Si Mg
4 1 1
direct
0.876 0.375 0.375
0.375 0.375 0.375
0.375 0.375 0.876
0.375 0.876 0.375
0.000 0.000 0.000
0.750 0.750 0.750

---

3.
AgTe2 | Alexandria | meta-GGA SCAN | PBEsol geometry; formation energy from raw total energies = -0.029 eV per formula unit; SG = Pnnm, No. 58; N(E_F) = 2.9 states/eV/cell
1.0
-3.062 1.981 2.080
2.582 -1.151 4.896
3.579 6.024 -0.470
Te Ag
4 2
direct
0.000 0.190 0.620
0.500 0.690 0.880
0.000 0.810 0.380
0.500 0.310 0.120
0.000 0.000 0.000
0.500 0.500 0.500

---

4.
TaSiB2 | Alexandria | meta-GGA SCAN | PBEsol geometry; formation energy from raw total energies = 1.271 eV per formula unit; SG = I-42d, No. 122; N(E_F) = 1.1 states/eV/cell
1.0
-2.442 3.282 -2.715
-3.197 -3.089 2.083
2.546 2.328 3.493
B Si Ta
4 2 2
direct
0.125 0.584 0.959
0.416 0.375 0.541
0.625 0.166 0.041
0.834 0.875 0.459
0.500 0.500 0.000
0.750 0.250 0.500
0.250 0.750 0.500
0.000 0.000 0.000

---

5.
Nd2Ge5Rh3 | Alexandria | meta-GGA SCAN | PBEsol geometry; calculated formation energy = -971.5 meV per atom; SG = C2/c, No. 15; N(E_F) = 9.9 states/eV/cell
1.0
-4.367 -0.559 4.026
1.477 -7.274 -3.815
7.485 -0.196 3.686
Ge Nd Rh
10 4 6
direct
0.339 0.938 0.740
0.250 0.778 0.222
0.750 0.778 0.222
0.161 0.260 0.062
0.250 0.500 0.500
0.250 0.222 0.778
0.661 0.062 0.260
0.750 0.500 0.500
0.839 0.740 0.938
0.750 0.222 0.778
0.269 0.135 0.402
0.731 0.865 0.598
0.769 0.402 0.135
0.231 0.598 0.865
0.607 0.465 0.747
0.750 0.000 0.000
0.250 0.000 0.000
0.893 0.253 0.535
0.393 0.535 0.253
0.107 0.747 0.465

---

6.
SrAlN2F | Alexandria | meta-GGA SCAN | PBEsol geometry; formation energy from raw total energies = -7.431 eV per formula unit; SG = P4/mmm, No. 123; N(E_F) = 1.4 states/eV/cell
1.0
3.742 0.000 0.000
0.000 3.742 0.000
0.000 0.000 4.250
Sr F N Al
1 1 2 1
direct
0.500 0.500 0.500
0.000 0.000 0.500
0.000 0.500 0.000
0.500 0.000 0.000
0.000 0.000 0.000

---

It is found that the theoretical density values, taken in the order of the records, are 10.768; 6.319; 7.234; 8.409; 8.924; 4.510 g/cm3.